Density functional theory data (GGA+U) for a relaxed MnBeN2F crystal.

a = 3.3896 Å, b = 3.3896 Å, c = 4.0381 Å
α = 90.00°, β = 90.00°, γ = 90.00°
Closest atoms and distances in Å follow each position.
Space group P4/mmm (No. 123)
One atom of each set of equivalent atoms:
Mn 0.0000 0.0000 0.0000 [1 per cell]  4 F 2.40, 8 N 2.64
Be 0.5000 0.5000 0.5000 [1 per cell]  4 N 1.69
N 0.0000 0.5000 0.5000 [2 per cell]  2 Be 1.69
F 0.5000 0.5000 0.0000 [1 per cell]  2 Be 2.02

- Final energy: -5.99 eV/atom
- Crystal system: tetragonal
- Offset from the most stable computed form: 0.000 eV/f.u.